[1]
# PBE K2AlP, optimized geometry
data_K2AlP
_symmetry_space_group_name_H-M 'I 4/m m m'
_symmetry_Int_Tables_number 139
_symmetry_space_group_name_Hall '-I 4 2'
_cell_length_a 4.474
_cell_length_b 4.474
_cell_length_c 10.480
_cell_angle_alpha 90.00
_cell_angle_beta 90.00
_cell_angle_gamma 90.00
loop_
_atom_site_label
_atom_site_type_symbol
_atom_site_fract_x
_atom_site_fract_y
_atom_site_fract_z
_atom_site_occupancy
K1 K 0.000 0.500 0.250 1
Al1 Al 0.000 0.000 0.000 1
P1 P 0.000 0.000 0.500 1
# Offset from the most stable computed form: 49.9 kJ per mole of atoms
# Formation energy: 0.281 eV per atom

[2]
# PBE HoScCd, optimized geometry
data_HoScCd
_symmetry_space_group_name_H-M 'F -4 3 m'
_symmetry_Int_Tables_number 216
_symmetry_space_group_name_Hall 'F -4 2 3'
_cell_length_a 7.046
_cell_length_b 7.046
_cell_length_c 7.046
_cell_angle_alpha 90.00
_cell_angle_beta 90.00
_cell_angle_gamma 90.00
loop_
_atom_site_label
_atom_site_type_symbol
_atom_site_fract_x
_atom_site_fract_y
_atom_site_fract_z
_atom_site_occupancy
Ho1 Ho 0.000 0.000 0.000 1
Sc1 Sc 0.000 0.000 0.500 1
Cd1 Cd 0.250 0.250 0.250 1
# Offset from the most stable computed form: 29.8 kJ per mole of atoms
# Formation energy: 0.134 eV per atom

[3]
# PBE CuMo2Os, optimized geometry
data_CuMo2Os
_symmetry_space_group_name_H-M 'I -4 2 d'
_symmetry_Int_Tables_number 122
_symmetry_space_group_name_Hall 'I -4 2bw'
_cell_length_a 7.082
_cell_length_b 7.082
_cell_length_c 5.220
_cell_angle_alpha 90.00
_cell_angle_beta 90.00
_cell_angle_gamma 90.00
loop_
_atom_site_label
_atom_site_type_symbol
_atom_site_fract_x
_atom_site_fract_y
_atom_site_fract_z
_atom_site_occupancy
Cu1 Cu 0.000 0.000 0.000 1
Mo1 Mo 0.226 0.250 0.625 1
Os1 Os 0.000 0.000 0.500 1
# Offset from the most stable computed form: 60.8 kJ per mole of atoms
# Formation energy: 0.759 eV per atom

Repeat the second record exactly.
# PBE HoScCd, optimized geometry
data_HoScCd
_symmetry_space_group_name_H-M 'F -4 3 m'
_symmetry_Int_Tables_number 216
_symmetry_space_group_name_Hall 'F -4 2 3'
_cell_length_a 7.046
_cell_length_b 7.046
_cell_length_c 7.046
_cell_angle_alpha 90.00
_cell_angle_beta 90.00
_cell_angle_gamma 90.00
loop_
_atom_site_label
_atom_site_type_symbol
_atom_site_fract_x
_atom_site_fract_y
_atom_site_fract_z
_atom_site_occupancy
Ho1 Ho 0.000 0.000 0.000 1
Sc1 Sc 0.000 0.000 0.500 1
Cd1 Cd 0.250 0.250 0.250 1
# Offset from the most stable computed form: 29.8 kJ per mole of atoms
# Formation energy: 0.134 eV per atom

Question: What is the formula in the second record?
Answer: HoScCd

Question: Look up the offset from the most stable computed form of the first one.
Answer: 49.9 kJ per mole of atoms